A plane-wave DFT calculation with PBE-GGA was carried out for crystalline LuTiAlIn at its relaxed geometry.

Calculated values
Calculated volume: 82.7 Å³/f.u.
Calculated formation energy: -0.1622 eV per atom

CIF file:
```
data_LuTiAlIn
_space_group_name_H-M_alt 'F -4 3 m'
_space_group_IT_number 216
_space_group_name_Hall 'F -4 2 3'
_cell_length_a 6.917
_cell_length_b 6.917
_cell_length_c 6.917
_cell_angle_alpha 90.00
_cell_angle_beta 90.00
_cell_angle_gamma 90.00
loop_
_atom_site_label
_atom_site_fract_x
_atom_site_fract_y
_atom_site_fract_z
Lu1 0.000 0.000 0.000
Ti1 0.000 0.000 0.500
Al1 0.250 0.250 0.250
In1 0.250 0.250 0.750
```